Compound: CoHgPO2
Source: Alexandria via LeMat-Bulk
Functional: PBE+U
Structure: optimized geometry

Computed properties:
E: -20.67 eV/f.u.
offset from the most stable computed form: 0 meV/atom

Unit cell a=3.6939 b=3.6939 c=5.0592 alpha=90.00 beta=90.00 gamma=90.00
Last column: nearest neighbours and their distance in Å.
Sites, in units of the cell vectors:
Co 0.0000 0.0000 0.0000  4 O 1.85
Hg 0.5000 0.5000 0.5000  4 P 2.61
P 0.0000 0.0000 0.5000  2 Co 2.53, 4 Hg 2.61
O 0.0000 0.5000 0.0000  2 Co 1.85
O 0.5000 0.0000 0.0000  2 Co 1.85